A relaxed structure of Zr2TcTe. Source: Alexandria, functional PBE-GGA.

Calculated values
The total energy is -31.483 eV/cell. The space group is P4mm (99).

Cell lengths 3.863, 3.863, 6.061 Å; angles 90.00, 90.00, 90.00 degrees
Element x y z (fractional)
Tc 0.000 0.000 0.398
Zr 0.500 0.500 0.314
Zr 0.000 0.000 0.990
Te 0.500 0.500 0.798

---

A relaxed structure of Tb2Ge3Au5. Source: Alexandria, functional PBE-GGA.

Calculated values
The space group is Cmc2_1 (36). Its formation energy is -12.1 kcal/mol of atoms.

Cell lengths 4.469, 7.180, 12.706 Å; angles 90.00, 100.13, 90.00 degrees
Element x y z (fractional)
Au 0.714 0.010 0.427
Au 0.397 0.430 0.795
Au 0.880 0.725 0.760
Au 0.286 0.510 0.573
Au 0.120 0.225 0.240
Au 0.053 0.563 0.106
Au 0.299 0.919 0.598
Au 0.701 0.419 0.402
Au 0.947 0.063 0.894
Au 0.603 0.930 0.205
Ge 0.394 0.058 0.787
Ge 0.953 0.455 0.907
Ge 0.606 0.558 0.213
Ge 0.773 0.711 0.545
Ge 0.047 0.955 0.093
Ge 0.227 0.211 0.455
Tb 0.175 0.737 0.350
Tb 0.481 0.755 0.962
Tb 0.825 0.237 0.650
Tb 0.519 0.255 0.038

---

A relaxed structure of LaTb2CuSe5. Source: Alexandria, functional PBE-GGA.

Calculated values
The total energy is -99.440 eV/cell. The space group is Cmc2_1 (36).

Cell lengths 4.006, 9.988, 11.562 Å; angles 90.00, 90.00, 101.57 degrees
Element x y z (fractional)
Se 0.504 0.008 0.283
Se 0.951 0.902 0.563
Se 0.331 0.663 0.322
Se 0.669 0.337 0.822
Se 0.362 0.724 0.005
Se 0.496 0.992 0.783
Se 0.304 0.608 0.700
Se 0.049 0.098 0.063
Se 0.638 0.276 0.505
Se 0.696 0.392 0.200
Cu 0.569 0.138 0.951
Cu 0.431 0.862 0.451
Tb 0.108 0.217 0.310
Tb 0.914 0.827 0.183
Tb 0.892 0.783 0.810
Tb 0.086 0.173 0.683
La 0.803 0.607 0.508
La 0.197 0.393 0.008